Record 1
HoTi2 | PBE | relaxed

Output
E_form = 0.707 eV/f.u.

Unit cell a=5.791 b=5.791 c=5.791 alpha=60.00 beta=60.00 gamma=60.00
Fractional positions:
1 Ho 0.125 0.125 0.125
2 Ho 0.875 0.875 0.875
3 Ti 0.000 0.500 0.500
4 Ti 0.500 0.000 0.500
5 Ti 0.500 0.500 0.000
6 Ti 0.500 0.500 0.500

=====

Record 2
Rb2UAsSe6 | PBE | relaxed

Unit cell a=7.546 b=7.546 c=7.549 alpha=119.99 beta=119.99 gamma=59.99
Fractional positions:
1 Rb 0.250 0.250 0.250
2 Rb 0.750 0.750 0.750
3 U 0.000 0.000 0.500
4 As 0.500 0.500 0.000
5 Se 0.247 0.746 0.246
6 Se 0.250 0.250 0.744
7 Se 0.254 0.753 0.754
8 Se 0.746 0.247 0.246
9 Se 0.750 0.750 0.256
10 Se 0.753 0.254 0.754

=====

Record 3
NaPmGaAg | PBE | relaxed

Output
E_form = -0.821 eV/f.u.

Unit cell a=5.106 b=5.106 c=5.106 alpha=60.00 beta=60.00 gamma=60.00
Fractional positions:
1 Na 0.000 0.000 0.000
2 Pm 0.500 0.500 0.500
3 Ga 0.250 0.250 0.250
4 Ag 0.750 0.750 0.750

=====

D(E_F) readings, ordered: 1.1753, 0.4932, 0.7560 states/eV per atom
Raw total energy readings, ordered: -0.2408, -0.1695, -0.1173 hartree per atom